1.
The following is a DFT calculation (PBE-GGA) of crystalline Bi3SbPd at its relaxed geometry.

Electronic total energy in eV for the cell shown: -15.84
ΔE_f (raw) in eV per atom: 1.02
Space-group type: Pm-3m, No. 221
ΔE to the lowest computed polymorph in meV/atom: 1051

a = 5.8017 Å, b = 5.8017 Å, c = 5.8017 Å
α = 90.00°, β = 90.00°, γ = 90.00°
Last column: nearest neighbours and their distance in Å.
Fractional positions:
Sb: 0.0000 0.0000 0.0000  6 Bi 2.90
Bi: 0.0000 0.5000 0.0000  2 Sb 2.90
Bi: 0.0000 0.0000 0.5000  2 Sb 2.90
Bi: 0.5000 0.0000 0.0000  2 Sb 2.90
Pd: 0.5000 0.5000 0.5000  12 Bi 4.10

=====

2.
The following is a DFT calculation (PBE-GGA) of crystalline MgAlSeBr2 at its relaxed geometry.

Electronic total energy in eV for the cell shown: -14.23
ΔE_f (raw) in eV per atom: -0.41
Space-group type: P4/mmm, No. 123
ΔE to the lowest computed polymorph in meV/atom: 56

a = 5.2303 Å, b = 5.2303 Å, c = 5.2768 Å
α = 90.00°, β = 90.00°, γ = 90.00°
Last column: nearest neighbours and their distance in Å.
Fractional positions:
Mg: 0.0000 0.0000 0.0000  4 Br 2.62, 2 Se 2.64
Se: 0.0000 0.0000 0.5000  2 Mg 2.64
Br: 0.0000 0.5000 0.0000  2 Mg 2.62
Br: 0.5000 0.0000 0.0000  2 Mg 2.62
Al: 0.5000 0.5000 0.5000  4 Se 3.70, 8 Br 3.71

=====

3.
The following is a DFT calculation (PBE-GGA) of crystalline PmTm4Tl at its relaxed geometry.

Electronic total energy in eV for the cell shown: -25.60
Space-group type: P4/mmm, No. 123
E_form in eV per atom: -0.100
ΔE to the lowest computed polymorph in meV/atom: 0

a = 3.5649 Å, b = 3.5649 Å, c = 14.0728 Å
α = 90.00°, β = 90.00°, γ = 90.00°
Last column: nearest neighbours and their distance in Å.
Fractional positions:
Pm: 0.0000 0.0000 0.0000  4 Pm 3.56, 8 Tm 3.57
Tm: 0.5000 0.5000 0.1792  8 Tm 3.49-3.56, 4 Pm 3.57
Tm: 0.0000 0.0000 0.6490  4 Tl 3.28, 8 Tm 3.49-3.56
Tm: 0.0000 0.0000 0.3510  4 Tl 3.28, 8 Tm 3.49-3.56
Tm: 0.5000 0.5000 0.8208  8 Tm 3.49-3.56, 4 Pm 3.57
Tl: 0.5000 0.5000 0.5000  8 Tm 3.28, 4 Tl 3.56

=====

4.
The following is a DFT calculation (PBE-GGA) of crystalline Cs5Au2BrO at its relaxed geometry.

Electronic total energy in eV for the cell shown: -25.14
ΔE_f (raw) in eV per atom: -0.85
Space-group type: Immm, No. 71

a = 5.7866 Å, b = 8.3217 Å, c = 10.1095 Å
α = 114.30°, β = 106.63°, γ = 90.00°
Last column: nearest neighbours and their distance in Å.
Fractional positions:
Cs: 0.6193 0.8778 0.2386  1 O 2.90
Cs: 0.3807 0.1222 0.7614  1 O 2.90
Cs: 0.3807 0.6392 0.7614  1 O 2.90
Cs: 0.6193 0.3608 0.2386  1 O 2.90
Cs: 0.0000 0.0000 0.0000  2 O 2.89
Au: 0.2060 0.2060 0.4119  7 Cs 3.60-3.84
Au: 0.7940 0.7940 0.5881  7 Cs 3.60-3.84
Br: 0.0000 0.5000 0.0000  10 Cs 4.16-4.17
O: 0.5000 0.0000 0.0000  6 Cs 2.89-2.90

=====

5.
The following is a DFT calculation (PBE-GGA) of crystalline Cs2TlP at its relaxed geometry.

Electronic total energy in eV for the cell shown: -10.36
Space-group type: Imm2, No. 44
E_form in eV per atom: -0.219
ΔE to the lowest computed polymorph in meV/atom: 0

a = 4.3766 Å, b = 7.6284 Å, c = 6.9729 Å
α = 123.16°, β = 108.30°, γ = 90.00°
Last column: nearest neighbours and their distance in Å.
Fractional positions:
Cs: 0.9340 0.8720 0.8675  3 P 3.57-3.88, 1 Cs 3.98
Cs: 0.5660 0.5045 0.1325  3 P 3.57-3.88, 1 Cs 3.98
Tl: 0.7500 0.1737 0.5000  2 P 2.78
P: 0.2500 0.9499 0.5000  2 Tl 2.78

=====

6.
The following is a DFT calculation (PBE-GGA) of crystalline LiMg2Pt at its relaxed geometry.

Electronic total energy in eV for the cell shown: -12.86
Space-group type: C2/m, No. 12
E_form in eV per atom: -0.430
ΔE to the lowest computed polymorph in meV/atom: 209

a = 4.7444 Å, b = 4.7444 Å, c = 5.2629 Å
α = 81.33°, β = 81.33°, γ = 36.56°
Last column: nearest neighbours and their distance in Å.
Fractional positions:
Li: 0.2500 0.2500 0.2500  6 Mg 2.74-2.95, 2 Li 2.98, 4 Pt 3.02
Mg: 0.0124 0.0124 0.9825  3 Pt 2.73-2.83, 3 Li 2.74-2.95, 4 Mg 2.90-2.98
Mg: 0.4876 0.4876 0.5175  3 Pt 2.73-2.83, 3 Li 2.74-2.95, 4 Mg 2.90-2.98
Pt: 0.7500 0.7500 0.7500  6 Mg 2.73-2.83, 2 Pt 2.98, 4 Li 3.02

=====

7.
The following is a DFT calculation (PBE-GGA) of crystalline Rb2BaAs2O6 at its relaxed geometry.

Electronic total energy in eV for the cell shown: -62.78
ΔE_f (raw) in eV per atom: -1.81
Space-group type: C2/m, No. 12

a = 6.4419 Å, b = 6.4278 Å, c = 7.6299 Å
α = 118.10°, β = 90.00°, γ = 120.07°
Last column: nearest neighbours and their distance in Å.
Fractional positions:
Rb: 0.7098 0.4196 0.1891  7 O 3.04-3.40
Rb: 0.2902 0.5804 0.8109  7 O 3.04-3.40
Ba: 0.5000 0.0000 0.5000  6 O 2.67-2.69
As: 0.9653 0.9305 0.8147  3 O 1.71-1.72
As: 0.0347 0.0695 0.1853  3 O 1.71-1.72
O: 0.7820 0.5639 0.6537  1 As 1.71
O: 0.1808 0.9191 0.2130  1 As 1.72
O: 0.2618 0.0809 0.7870  1 As 1.72
O: 0.8192 0.0809 0.7870  1 As 1.72
O: 0.7382 0.9191 0.2130  1 As 1.72
O: 0.2180 0.4361 0.3463  1 As 1.71

=====

8.
The following is a DFT calculation (PBE-GGA) of crystalline Na2YIn at its relaxed geometry.

Electronic total energy in eV for the cell shown: -23.04
Space-group type: I-42d, No. 122
E_form in eV per atom: 0.081

a = 4.4832 Å, b = 4.4832 Å, c = 12.7265 Å
α = 79.86°, β = 79.86°, γ = 90.00°
Last column: nearest neighbours and their distance in Å.
Fractional positions:
Y: 0.5000 0.5000 0.0000  4 In 3.17, 4 Na 3.50
Y: 0.2500 0.7500 0.5000  4 In 3.17, 4 Na 3.50
Na: 0.6498 0.1250 0.2500  4 Na 3.02-3.33
Na: 0.1002 0.6250 0.2500  4 Na 3.02-3.33
Na: 0.3750 0.3502 0.7500  4 Na 3.02-3.33
Na: 0.8750 0.8998 0.7500  4 Na 3.02-3.33
In: 0.0000 0.0000 0.0000  4 Y 3.17, 4 Na 3.43
In: 0.7500 0.2500 0.5000  4 Y 3.17, 4 Na 3.43

=====

9.
The following is a DFT calculation (PBE-GGA) of crystalline TiInAg at its relaxed geometry.

Electronic total energy in eV for the cell shown: -27.30
Space-group type: Pmmn, No. 59
E_form in eV per atom: -0.054

a = 9.6059 Å, b = 3.1605 Å, c = 3.7490 Å
α = 90.00°, β = 90.00°, γ = 90.00°
Last column: nearest neighbours and their distance in Å.
Fractional positions:
Ti: 0.4449 0.4762 0.9319  4 Ti 2.81, 5 In 2.97-3.04
Ti: 0.3030 0.9762 0.4319  4 Ti 2.81, 5 In 2.97-3.04
Ag: 0.9607 0.9762 0.4318  5 In 2.93-3.27, 6 Ag 2.96-3.16
Ag: 0.7871 0.4763 0.9318  5 In 2.93-3.27, 6 Ag 2.96-3.16
In: 0.6199 0.9759 0.4319  5 Ag 2.93-3.27, 5 Ti 2.97-3.04, 2 In 3.16
In: 0.1280 0.4759 0.9319  5 Ag 2.93-3.27, 5 Ti 2.97-3.04, 2 In 3.16

=====

10.
The following is a DFT calculation (PBE-GGA) of crystalline ThZrScIn at its relaxed geometry.

Electronic total energy in eV for the cell shown: -25.32
Space-group type: F-43m, No. 216
E_form in eV per atom: -0.071

a = 5.1848 Å, b = 5.1848 Å, c = 5.1848 Å
α = 60.00°, β = 60.00°, γ = 60.00°
Last column: nearest neighbours and their distance in Å.
Fractional positions:
Sc: 0.0000 0.0000 0.0000  4 In 3.18, 4 Th 3.18
Zr: 0.5000 0.5000 0.5000  4 In 3.18, 4 Th 3.18
Th: 0.2500 0.2500 0.2500  4 Zr 3.18, 4 Sc 3.18
In: 0.7500 0.7500 0.7500  4 Sc 3.18, 4 Zr 3.18

=====

11.
The following is a DFT calculation (PBE-GGA) of crystalline MgCu2O4 at its relaxed geometry.

Electronic total energy in eV for the cell shown: -145.04
ΔE_f (raw) in eV per atom: -0.95
Space-group type: Pmmn, No. 59
ΔE to the lowest computed polymorph in meV/atom: 149

a = 5.0651 Å, b = 5.7790 Å, c = 10.1642 Å
α = 90.00°, β = 90.00°, γ = 90.00°
Last column: nearest neighbours and their distance in Å.
Fractional positions:
Mg: 0.8432 0.0000 0.5000  6 O 2.10-2.18
Mg: 0.1568 0.5000 0.0000  6 O 2.10-2.18
Mg: 0.5159 0.0000 0.0000  6 O 2.13-2.17
Mg: 0.4841 0.5000 0.5000  6 O 2.13-2.17
Cu: 0.5136 0.5000 0.2341  6 O 1.98-2.12
Cu: 0.5136 0.5000 0.7659  6 O 1.98-2.12
Cu: 0.4864 0.0000 0.2659  6 O 1.98-2.12
Cu: 0.4864 0.0000 0.7341  6 O 1.98-2.12
Cu: 0.0000 0.2500 0.2500  6 O 1.94-2.08
Cu: 0.0000 0.7500 0.7500  6 O 1.94-2.08
Cu: 0.0000 0.7500 0.2500  6 O 1.94-2.08
Cu: 0.0000 0.2500 0.7500  6 O 1.94-2.08
O: 0.8602 0.5000 0.1439  3 Cu 1.94-1.98, 1 Mg 2.10
O: 0.8602 0.5000 0.8561  3 Cu 1.94-1.98, 1 Mg 2.10
O: 0.1398 0.0000 0.3561  3 Cu 1.94-1.98, 1 Mg 2.10
O: 0.1398 0.0000 0.6439  3 Cu 1.94-1.98, 1 Mg 2.10
O: 0.1941 0.5000 0.3479  3 Cu 1.99-2.01, 1 Mg 2.13
O: 0.1941 0.5000 0.6521  3 Cu 1.99-2.01, 1 Mg 2.13
O: 0.8059 0.0000 0.1521  3 Cu 1.99-2.01, 1 Mg 2.13
O: 0.8059 0.0000 0.8479  3 Cu 1.99-2.01, 1 Mg 2.13
O: 0.6649 0.2519 0.3675  3 Cu 2.00-2.12, 2 Mg 2.17-2.18
O: 0.6649 0.7481 0.6325  3 Cu 2.00-2.12, 2 Mg 2.17-2.18
O: 0.3351 0.7519 0.1325  3 Cu 2.00-2.12, 2 Mg 2.17-2.18
O: 0.3351 0.2481 0.8675  3 Cu 2.00-2.12, 2 Mg 2.17-2.18
O: 0.3351 0.2481 0.1325  3 Cu 2.00-2.12, 2 Mg 2.17-2.18
O: 0.3351 0.7519 0.8675  3 Cu 2.00-2.12, 2 Mg 2.17-2.18
O: 0.6649 0.7481 0.3675  3 Cu 2.00-2.12, 2 Mg 2.17-2.18
O: 0.6649 0.2519 0.6325  3 Cu 2.00-2.12, 2 Mg 2.17-2.18

=====

12.
The following is a DFT calculation (PBE-GGA) of crystalline BaLiB2I at its relaxed geometry.

Electronic total energy in eV for the cell shown: -11.47
ΔE_f (raw) in eV per atom: 1.45
Space-group type: P4/mmm, No. 123

a = 5.3850 Å, b = 6.9337 Å, c = 5.3850 Å
α = 90.00°, β = 90.00°, γ = 90.00°
Last column: nearest neighbours and their distance in Å.
Fractional positions:
I: 0.0000 0.5000 0.0000  2 Ba 3.47, 4 Li 3.81
B: 0.0000 0.0000 0.5000  2 Ba 2.69
B: 0.5000 0.0000 0.0000  2 Ba 2.69
Ba: 0.0000 0.0000 0.0000  4 B 2.69
Li: 0.5000 0.5000 0.5000  4 I 3.81

=====

> electronic total energy of number 1 (Bi3SbPd)?

-15.84 eV for the cell shown

=====

> Which formula does entry 12 have?

BaLiB2I

=====

> Which of these has the highest electronic total energy?

Cs2TlP

=====

> Which of these has the lowest electronic total energy?

MgCu2O4